The following is a DFT calculation (PBE) of a relaxed Li6YAg2 crystal.

a = 4.0062 Å, b = 4.0062 Å, c = 11.2550 Å
α = 90.00°, β = 90.00°, γ = 90.00°
Positions (direct):
Ag 0.5000 0.5000 0.8752
Li 0.5000 0.0000 0.2869
Y 0.0000 0.0000 0.0000
Li 0.0000 0.0000 0.5000
Li 0.0000 0.5000 0.7131
Li 0.5000 0.5000 0.5000
Ag 0.5000 0.5000 0.1248
Li 0.5000 0.0000 0.7131
Li 0.0000 0.5000 0.2869

Output
As for the formation energy: -0.1047 eV/atom. The value obtained for the raw total energy is -2.7324 eV per atom.